Compound: Nd2Sm7Tm4
Source: Alexandria via LeMat-Bulk
Functional: GGA-PBE
Structure: relaxed

The energy relative to the elements is 189 meV/atom. As for the crystal system: trigonal.

The space group is P-31m (No. 162) and the conventional cell measures 6.1585, 6.1585 and 13.1772 Å, with angles of 90.00, 90.00 and 120.00 degrees. The inequivalent atoms are Nd at (0.3333, 0.6667, 0.0000), Sm at (0.0000, 0.0000, 0.0000), Sm at (0.0000, 0.3678, 0.2243), Tm at (0.0000, 0.0000, 0.3937) and Tm at (0.3333, 0.6667, 0.5000).

***

Compound: Nd6SmTm12
Source: Alexandria via LeMat-Bulk
Functional: GGA-PBE
Structure: relaxed

The energy relative to the elements is 121 meV/atom. As for the crystal system: trigonal.

The space group is R-3m (No. 166, hexagonal axes) and the conventional cell measures 11.0364, 11.0364 and 17.3839 Å, with angles of 90.00, 90.00 and 120.00 degrees. The inequivalent atoms are Nd at (0.0685, 0.5342, 0.2662), Sm at (0.0000, 0.0000, 0.5000), Tm at (0.1044, 0.5522, 0.9144) and Tm at (0.1061, 0.2122, 0.9081).

***

Compound: NdSm4Tm8
Source: Alexandria via LeMat-Bulk
Functional: GGA-PBE
Structure: relaxed

The energy relative to the elements is 526 meV/atom. As for the crystal system: trigonal.

The space group is R-3m (No. 166, hexagonal axes) and the conventional cell measures 10.9649, 10.9649 and 13.4126 Å, with angles of 90.00, 90.00 and 120.00 degrees. The inequivalent atoms are Nd at (0.0000, 0.0000, 0.0000), Sm at (0.0000, 0.0000, 0.5000), Sm at (0.0000, 0.5000, 0.5000), Tm at (0.0000, 0.0000, 0.2607) and Tm at (0.0141, 0.5071, 0.2463).

***

Compound: Nd3Sm7Tm2
Source: Alexandria via LeMat-Bulk
Functional: GGA-PBE
Structure: relaxed

The energy relative to the elements is 281 meV/atom. As for the crystal system: trigonal.

The space group is R-3m (No. 166, hexagonal axes) and the conventional cell measures 6.5839, 6.5839 and 34.0968 Å, with angles of 90.00, 90.00 and 120.00 degrees. The inequivalent atoms are Nd at (0.0000, 0.0000, 0.0000), Nd at (0.0000, 0.0000, 0.1543), Sm at (0.0000, 0.0000, 0.5000), Sm at (0.0027, 0.5014, 0.9167) and Tm at (0.0000, 0.0000, 0.3336).